No. 1
VASP calculation (PBE-GGA) on a relaxed PmHo4Tm3 crystal.

E (eV per atom): -4.556
Calculated volume (Å³/atom): 31.407
Energy above the most stable polymorph in this dataset (meV per atom): 0
Calculated formation energy (eV per formula unit): 0.03

Cell lengths 6.2331, 7.2180, 11.1693 Å; angles 90.00, 90.00, 90.00 degrees
Last column: nearest neighbours and their distance in Å.
Fractional positions:
Pm 0.1475 0.3747 0.0000  6 Tm 3.48-3.60, 6 Ho 3.50-3.61
Pm 0.6475 0.6253 0.5000  6 Tm 3.48-3.60, 6 Ho 3.50-3.61
Ho 0.1465 0.8747 0.0000  6 Ho 3.47-3.61, 4 Tm 3.48-3.61, 2 Pm 3.61
Ho 0.6488 0.1250 0.0000  6 Ho 3.47-3.61, 4 Tm 3.48-3.61, 2 Pm 3.59-3.61
Ho 0.9814 0.1248 0.2520  5 Tm 3.47-3.61, 6 Ho 3.47-3.60, 1 Pm 3.50
Ho 0.4814 0.8752 0.2480  5 Tm 3.47-3.61, 6 Ho 3.47-3.60, 1 Pm 3.50
Ho 0.1488 0.8750 0.5000  6 Ho 3.47-3.61, 4 Tm 3.48-3.61, 2 Pm 3.59-3.61
Ho 0.6465 0.1253 0.5000  6 Ho 3.47-3.61, 4 Tm 3.48-3.61, 2 Pm 3.61
Ho 0.4814 0.8752 0.7520  5 Tm 3.47-3.61, 6 Ho 3.47-3.60, 1 Pm 3.50
Ho 0.9814 0.1248 0.7480  5 Tm 3.47-3.61, 6 Ho 3.47-3.60, 1 Pm 3.50
Tm 0.6476 0.6250 0.0000  6 Ho 3.47-3.61, 4 Tm 3.48, 2 Pm 3.60
Tm 0.9810 0.6251 0.2501  6 Ho 3.48-3.61, 2 Pm 3.48-3.49, 4 Tm 3.48-3.60
Tm 0.4810 0.3749 0.2499  6 Ho 3.48-3.61, 2 Pm 3.48-3.49, 4 Tm 3.48-3.60
Tm 0.1476 0.3750 0.5000  6 Ho 3.47-3.61, 4 Tm 3.48, 2 Pm 3.60
Tm 0.4810 0.3749 0.7501  6 Ho 3.48-3.61, 2 Pm 3.48-3.49, 4 Tm 3.48-3.60
Tm 0.9810 0.6251 0.7499  6 Ho 3.48-3.61, 2 Pm 3.48-3.49, 4 Tm 3.48-3.60


No. 2
VASP calculation (PBE-GGA) on a relaxed Sr2LiPaTe5 crystal.

Uncorrected formation energy (eV/atom): -1.2079
E (eV per atom): -4.595
Calculated volume (Å³/atom): 35.023

Cell lengths 4.5606, 9.8686, 14.3969 Å; angles 90.00, 90.00, 103.36 degrees
Last column: nearest neighbours and their distance in Å.
Fractional positions:
Sr 0.8817 0.7634 0.8068  5 Te 3.29-3.55
Sr 0.0891 0.1782 0.6625  6 Te 3.26-3.50
Sr 0.1183 0.2366 0.3068  5 Te 3.29-3.55
Sr 0.9109 0.8218 0.1625  6 Te 3.26-3.50
Li 0.5660 0.1319 0.9462  4 Te 2.72-2.86
Li 0.4340 0.8681 0.4462  4 Te 2.72-2.86
Pa 0.7821 0.5642 0.5244  6 Te 2.90-3.09
Pa 0.2179 0.4358 0.0244  6 Te 2.90-3.09
Te 0.3721 0.7443 0.9957  1 Pa 2.99
Te 0.7079 0.4158 0.8855  1 Li 2.86, 2 Pa 3.04
Te 0.5030 0.0061 0.7768  1 Li 2.72
Te 0.2715 0.5430 0.6684  2 Pa 3.09
Te 0.9310 0.8621 0.5577  2 Li 2.79, 1 Pa 2.90
Te 0.6279 0.2557 0.4957  1 Pa 2.99
Te 0.2921 0.5842 0.3855  1 Li 2.86, 2 Pa 3.04
Te 0.4970 0.9939 0.2768  1 Li 2.72
Te 0.7285 0.4570 0.1684  2 Pa 3.09
Te 0.0690 0.1379 0.0577  2 Li 2.79, 1 Pa 2.90


No. 3
VASP calculation (PBE-GGA) on a relaxed YTe2Ru crystal.

Uncorrected formation energy (eV/atom): -0.4049
E (eV per atom): -5.911
Calculated volume (Å³/atom): 28.768
Energy above the most stable polymorph in this dataset (meV per atom): 111

Cell lengths 8.2827, 8.2827, 8.2827 Å; angles 28.60, 28.60, 28.60 degrees
Last column: nearest neighbours and their distance in Å.
Fractional positions:
Ru 0.7415 0.7415 0.7415  3 Te 2.56
Te 0.0332 0.0332 0.0332  3 Ru 2.56
Te 0.2349 0.2349 0.2349  3 Y 3.00
Y 0.4904 0.4904 0.4904  3 Te 3.00, 3 Ru 3.07


No. 4
VASP calculation (PBE-GGA) on a relaxed CsHfSe3 crystal.

Uncorrected formation energy (eV/atom): -1.1049
E (eV per atom): -5.357
Calculated volume (Å³/atom): 29.856
Energy above the most stable polymorph in this dataset (meV per atom): 0

Cell lengths 5.3048, 5.3048, 5.3048 Å; angles 90.00, 90.00, 90.00 degrees
Last column: nearest neighbours and their distance in Å.
Fractional positions:
Cs 0.5000 0.5000 0.5000  12 Se 3.75
Hf 0.0000 0.0000 0.0000  6 Se 2.65
Se 0.0000 0.5000 0.0000  2 Hf 2.65
Se 0.0000 0.0000 0.5000  2 Hf 2.65
Se 0.5000 0.0000 0.0000  2 Hf 2.65


No. 5
VASP calculation (PBE-GGA) on a relaxed HfMoIN2 crystal.

Uncorrected formation energy (eV/atom): 0.8905
E (eV per atom): -6.907
Calculated volume (Å³/atom): 20.691
Energy above the most stable polymorph in this dataset (meV per atom): 8

Cell lengths 4.1806, 4.1806, 5.9194 Å; angles 90.00, 90.00, 90.00 degrees
Last column: nearest neighbours and their distance in Å.
Fractional positions:
I 0.0000 0.0000 0.5000  4 Mo 2.96, 2 Hf 2.96
Mo 0.5000 0.5000 0.5000  4 I 2.96
Hf 0.0000 0.0000 0.0000  4 N 2.09
N 0.0000 0.5000 0.0000  2 Hf 2.09
N 0.5000 0.0000 0.0000  2 Hf 2.09


No. 6
VASP calculation (PBE-GGA) on a relaxed NpPbAu crystal.

E (eV per atom): -6.612
Calculated volume (Å³/atom): 24.057
Calculated formation energy (eV per formula unit): 0.09

Cell lengths 3.1520, 5.1419, 5.1419 Å; angles 120.00, 90.00, 90.00 degrees
Last column: nearest neighbours and their distance in Å.
Fractional positions:
Np 0.6668 0.3333 0.6667  2 Np 3.15, 6 Au 3.36, 6 Pb 3.36
Pb 0.1677 0.0000 0.0000  3 Au 2.97, 2 Pb 3.15
Au 0.1655 0.6667 0.3333  3 Pb 2.97, 2 Au 3.15


No. 7
VASP calculation (PBE-GGA) on a relaxed AsIrAu crystal.

E (eV per atom): -5.469
Calculated volume (Å³/atom): 17.821
Energy above the most stable polymorph in this dataset (meV per atom): 0
Calculated formation energy (eV per formula unit): 0.38

Cell lengths 6.3537, 6.3537, 6.3537 Å; angles 152.81, 152.81, 38.83 degrees
Last column: nearest neighbours and their distance in Å.
Fractional positions:
As 0.0316 0.0316 0.0000  4 Ir 2.55
Ir 0.6501 0.6501 0.0000  4 As 2.55
Au 0.3184 0.3184 0.0000  4 Ir 2.92, 4 Au 2.99


No. 8
VASP calculation (PBE-GGA) on a relaxed Pr2ScTe2Se2 crystal.

Uncorrected formation energy (eV/atom): -1.4428
E (eV per atom): -5.606
Calculated volume (Å³/atom): 29.449

Cell lengths 5.0315, 5.0315, 8.8862 Å; angles 106.45, 106.45, 90.00 degrees
Last column: nearest neighbours and their distance in Å.
Fractional positions:
Pr 0.3760 0.3761 0.7521  1 Te 3.18, 4 Se 3.23
Pr 0.6240 0.6239 0.2479  1 Te 3.18, 4 Se 3.23
Sc 0.0000 0.0000 0.0000  4 Se 2.52
Te 0.1808 0.1808 0.3616  1 Sc 2.94, 1 Pr 3.18
Te 0.8192 0.8192 0.6384  1 Sc 2.94, 1 Pr 3.18
Se 0.0000 0.5000 0.0000  2 Sc 2.52
Se 0.5000 0.0000 0.0000  2 Sc 2.52


No. 9
VASP calculation (PBE-GGA) on a relaxed Cd3BiOs crystal.

E (eV per atom): -2.744
Calculated volume (Å³/atom): 28.287
Energy above the most stable polymorph in this dataset (meV per atom): 0
Calculated formation energy (eV per formula unit): 4.14

Cell lengths 5.2102, 5.2102, 5.2102 Å; angles 90.00, 90.00, 90.00 degrees
Last column: nearest neighbours and their distance in Å.
Fractional positions:
Os 0.0000 0.0000 0.0000  6 Cd 2.61
Bi 0.5000 0.5000 0.5000  12 Cd 3.68
Cd 0.0000 0.5000 0.0000  2 Os 2.61
Cd 0.0000 0.0000 0.5000  2 Os 2.61
Cd 0.5000 0.0000 0.0000  2 Os 2.61


No. 10
VASP calculation (PBE-GGA) on a relaxed AgAuBr5 crystal.

Uncorrected formation energy (eV/atom): -0.1116
E (eV per atom): -2.182
Calculated volume (Å³/atom): 41.156
Energy above the most stable polymorph in this dataset (meV per atom): 9

Cell lengths 7.8425, 7.8425, 12.8065 Å; angles 61.21, 61.21, 62.22 degrees
Last column: nearest neighbours and their distance in Å.
Fractional positions:
Ag 0.2600 0.7400 0.2500  3 Br 2.54-2.63
Ag 0.7400 0.2600 0.7500  3 Br 2.54-2.63
Au 0.0000 0.0000 0.0000  4 Br 2.47-2.48
Au 0.0000 0.0000 0.5000  4 Br 2.47-2.48
Br 0.8625 0.8581 0.2329  1 Au 2.47
Br 0.1862 0.6486 0.4908  1 Au 2.48, 1 Ag 2.63
Br 0.8581 0.8625 0.7329  1 Au 2.47
Br 0.5734 0.4266 0.2500  1 Ag 2.54
Br 0.3514 0.8138 0.0092  1 Au 2.48, 1 Ag 2.63
Br 0.6486 0.1862 0.9908  1 Au 2.48, 1 Ag 2.63
Br 0.4266 0.5734 0.7500  1 Ag 2.54
Br 0.1419 0.1375 0.2671  1 Au 2.47
Br 0.8138 0.3514 0.5092  1 Au 2.48, 1 Ag 2.63
Br 0.1375 0.1419 0.7671  1 Au 2.47


No. 11
VASP calculation (PBE-GGA) on a relaxed AgSb2I crystal.

Uncorrected formation energy (eV/atom): 0.4851
E (eV per atom): -2.676
Calculated volume (Å³/atom): 27.010
Energy above the most stable polymorph in this dataset (meV per atom): 307

Cell lengths 5.3461, 5.3461, 5.3461 Å; angles 60.00, 60.00, 60.00 degrees
Last column: nearest neighbours and their distance in Å.
Fractional positions:
I 0.5000 0.5000 0.5000  8 Sb 3.27
Sb 0.2500 0.2500 0.2500  4 I 3.27, 4 Ag 3.27
Sb 0.7500 0.7500 0.7500  4 I 3.27, 4 Ag 3.27
Ag 0.0000 0.0000 0.0000  8 Sb 3.27


No. 12
VASP calculation (PBE-GGA) on a relaxed SrHoAlGa crystal.

E (eV per atom): -3.522
Calculated volume (Å³/atom): 26.120
Calculated formation energy (eV per formula unit): -1.06

Cell lengths 5.2867, 5.2867, 5.2867 Å; angles 60.00, 60.00, 60.00 degrees
Last column: nearest neighbours and their distance in Å.
Fractional positions:
Sr 0.5000 0.5000 0.5000  4 Al 3.24, 4 Ga 3.24
Ho 0.0000 0.0000 0.0000  4 Ga 3.24, 4 Al 3.24
Ga 0.2500 0.2500 0.2500  4 Sr 3.24, 4 Ho 3.24
Al 0.7500 0.7500 0.7500  4 Ho 3.24, 4 Sr 3.24